(1)
Material: NbNi3
Method: DFT, PBEsol
State: optimized geometry

As for the energy of formation: -0.31 eV per atom. Its density of states at the Fermi level is 2.75 states/eV/f.u. The value obtained for the final energy is -7.63 eV per atom. The spin magnetization is 0.00 μB/f.u.

The space group is Pmmn (No. 59, origin choice 2) and the conventional cell measures 4.198, 5.058 and 4.506 Å, with angles of 90.00, 90.00 and 90.00 degrees. The inequivalent atoms are Nb at (0.250, 0.250, 0.151), Ni at (0.250, 0.001, 0.659) and Ni at (0.250, 0.750, 0.184).

---

(2)
Material: NbNi3
Method: DFT, PBEsol
State: optimized geometry

As for the energy of formation: -0.30 eV per atom. Its density of states at the Fermi level is 1.61 states/eV/f.u. The value obtained for the final energy is -7.62 eV per atom. The spin magnetization is 0.00 μB/f.u.

The space group is I4/mmm (No. 139) and the conventional cell measures 3.601, 3.601 and 7.391 Å, with angles of 90.00, 90.00 and 90.00 degrees. The inequivalent atoms are Nb at (0.000, 0.000, 0.000), Ni at (0.000, 0.000, 0.500) and Ni at (0.000, 0.500, 0.250).

---

(3)
Material: Nb2NiO6
Method: DFT, PBEsol
State: optimized geometry

As for the formation energy from raw total energies: -2.12 eV/atom. The polymorph energy (0 for the lowest one) is 0.0 meV/atom. The value obtained for the final energy is -8.70 eV per atom. The spin magnetization is 1.93 μB/f.u.

The space group is Pbcn (No. 60) and the conventional cell measures 13.975, 5.657 and 5.017 Å, with angles of 90.00, 90.00 and 90.00 degrees. The inequivalent atoms are Nb at (0.157, 0.183, 0.238), Ni at (0.000, 0.351, 0.750), O at (0.076, 0.388, 0.416), O at (0.091, 0.111, 0.909) and O at (0.244, 0.119, 0.568).

---

(4)
Material: Nb2NiO6
Method: DFT, PBEsol
State: optimized geometry

As for the formation energy from raw total energies: -2.06 eV/atom. Its density of states at the Fermi level is 1.33 states/eV/f.u. The polymorph energy (0 for the lowest one) is 59.4 meV/atom. The value obtained for the final energy is -8.64 eV per atom. The spin magnetization is 2.00 μB/f.u.

The space group is C2/m (No. 12) and the conventional cell measures 9.016, 6.592 and 7.313 Å, with angles of 90.00, 111.97 and 90.00 degrees. The inequivalent atoms are Nb at (0.000, 0.000, 0.000), Nb at (0.000, 0.000, 0.500), Nb at (0.152, 0.500, 0.190), Ni at (0.160, 0.500, 0.664), O at (0.000, 0.298, 0.500), O at (0.075, 0.500, 0.879), O at (0.108, 0.000, 0.801), O at (0.160, 0.199, 0.164) and O at (0.233, 0.000, 0.529).

---

- Look up the spin magnetization of the third one.
  1.93 μB/f.u.